# 1
# Y3Ho2Mg

An optimized crystal structure of Y3Ho2Mg (PBE-GGA, the Alexandria database).

Cell lengths 6.9533, 6.1401, 9.2793 Å; angles 91.25, 112.00, 90.00 degrees
Atoms (fractional coordinates):
Ho 0.7891 0.5830 0.3334
Ho 0.4557 0.9170 0.6666
Ho 0.5443 0.0830 0.3334
Ho 0.2109 0.4170 0.6666
Y 0.0415 0.0781 0.3332
Y 0.9585 0.9219 0.6668
Y 0.3672 0.7500 0.0000
Y 0.7083 0.4219 0.6668
Y 0.6328 0.2500 0.0000
Y 0.2917 0.5781 0.3332
Mg 0.1307 0.2500 0.0000
Mg 0.8693 0.7500 0.0000

Properties
DFT formation energy, eV per atom: 0.027
DFT total energy, eV per cell: -59.96

# 2
# Ca2CuAu2

An optimized crystal structure of Ca2CuAu2 (PBE-GGA, the Alexandria database).

Cell lengths 8.0308, 8.0308, 3.8750 Å; angles 90.00, 90.00, 90.00 degrees
Atoms (fractional coordinates):
Au 0.6294 0.8706 0.5000
Au 0.8706 0.3706 0.5000
Au 0.1294 0.6294 0.5000
Au 0.3706 0.1294 0.5000
Ca 0.6674 0.1674 0.0000
Ca 0.1674 0.3326 0.0000
Ca 0.8326 0.6674 0.0000
Ca 0.3326 0.8326 0.0000
Cu 0.5000 0.5000 0.0000
Cu 0.0000 0.0000 0.0000

Properties
DFT formation energy, eV per atom: -0.319
DFT total energy, eV per cell: -32.49

# 3
# BaLiMgF6

An optimized crystal structure of BaLiMgF6 (PBE-GGA, the Alexandria database).

Cell lengths 7.0947, 6.8021, 7.1715 Å; angles 118.31, 119.65, 90.00 degrees
Last column: magnetic moment on the atom in μB.
Atoms (fractional coordinates):
F 0.8318 0.0818 0.6636  0.07
F 0.5912 0.3431 0.7538  0.13
F 0.3733 0.6233 0.7465  0.36
F 0.4088 0.0893 0.2462  0.13
F 0.6267 0.3767 0.2535  0.36
F 0.1625 0.3431 0.7538  0.13
F 0.8375 0.6569 0.2462  0.13
F 0.8375 0.0893 0.2462  0.13
F 0.1625 0.9107 0.7538  0.13
F 0.4088 0.6569 0.2462  0.13
F 0.5912 0.9107 0.7538  0.13
F 0.1682 0.9182 0.3364  0.07
Li 0.5000 0.5000 0.0000  0.00
Li 0.5000 0.0000 0.0000  0.00
Ba 0.1188 0.3688 0.2377  -0.01
Ba 0.8812 0.6312 0.7623  -0.01
Mg 0.5000 0.0000 0.5000  0.00
Mg 0.0000 0.0000 0.5000  0.00

Properties
DFT total energy, eV per cell: -87.00
E_form (uncorrected), eV/atom: -2.982